This record from Alexandria describes a relaxed V3SbF crystal. The functional is PBE+U.

It has space group Pm-3m (No. 221), with a = 4.218 Å, b = 4.218 Å, c = 4.218 Å, α = 90.00°, β = 90.00° and γ = 90.00°. Symmetry generates all atoms from V at (0.000, 0.000, 0.500), Sb at (0.500, 0.500, 0.500) and F at (0.000, 0.000, 0.000).

As for the offset from the most stable computed form: 0 meV/atom. The value obtained for the total magnetic moment is 0.84 μB per formula unit. For the uncorrected energy, the calculation gives -4.99 eV/atom.